An optimized crystal structure of NaNiO2, computed with PBE+U.

Magnetization (μB/cell): 2.00
Total DFT energy (no corrections) (eV/atom): -4.523

Cell and atoms, written as CIF:
```
data_NaNiO2
_symmetry_space_group_name_H-M 'C 1 2/m 1'
_symmetry_Int_Tables_number 12
_cell_length_a 5.348
_cell_length_b 2.839
_cell_length_c 5.478
_cell_angle_alpha 90.00
_cell_angle_beta 95.55
_cell_angle_gamma 90.00
loop_
_symmetry_equiv_pos_as_xyz
'x,y,z'
'-x,-y,-z'
'-x,y,-z'
'x,-y,z'
'x+1/2,y+1/2,z'
'-x+1/2,-y+1/2,-z'
'-x+1/2,y+1/2,-z'
'x+1/2,-y+1/2,z'
loop_
_atom_site_label
_atom_site_fract_x
_atom_site_fract_y
_atom_site_fract_z
Na1 0.000 0.000 0.000
Ni1 0.000 0.000 0.500
O1 0.157 0.500 0.695
```